(1)
Entry from Alexandria: a geometry-optimized CaFeRh2 structure (PBE-GGA).

```
CaFeRh2
1.0
0.0938 -5.1335 1.9200
2.9147 -4.3312 1.6713
0.4913 -0.2860 4.6495
Ca Fe Rh
1 1 2
direct
0.4971 0.4971 0.5417
0.2768 0.2768 0.1918
0.9964 0.9964 0.0558
0.7298 0.7298 0.7107
```

Results
Its symmetry is No. 8. As for the size of the total moment: 3.613 μB/f.u. The energy above the most stable polymorph in this dataset is 181 meV per atom. The value obtained for the volume is 66.0 Å³ per cell.



(2)
Entry from Alexandria: a geometry-optimized CaFeRh2 structure (PBE-GGA).

```
CaFeRh2
1.0
2.9253 0.0000 0.0000
0.0000 3.7497 0.0000
0.0000 0.0000 6.3337
Ca Rh Fe
1 2 1
direct
0.0000 0.0000 0.4857
0.5000 0.5000 0.2138
0.0000 0.0000 0.9722
0.5000 0.5000 0.8283
```

Results
Its symmetry is No. 25. As for the size of the total moment: 3.682 μB/f.u. The energy above the most stable polymorph in this dataset is 231 meV per atom. The value obtained for the volume is 69.5 Å³ per cell.



(3)
Entry from Alexandria: a geometry-optimized CaFeRh2 structure (PBE-GGA).

```
CaFeRh2
1.0
0.0000 3.1886 3.1886
3.1886 0.0000 3.1886
3.1886 3.1886 0.0000
Ca Rh Fe
1 2 1
direct
0.0000 0.0000 0.0000
0.2500 0.2500 0.2500
0.7500 0.7500 0.7500
0.5000 0.5000 0.5000
```

Results
Its symmetry is No. 225. As for the size of the total moment: 4.162 μB/f.u. The energy above the most stable polymorph in this dataset is 97 meV per atom. The value obtained for the volume is 64.8 Å³ per cell.



(4)
Entry from Alexandria: a geometry-optimized CaFeRh2 structure (PBE-GGA).

```
CaFeRh2
1.0
3.1285 0.0000 0.0000
0.0000 3.1432 -0.0116
0.0000 3.1629 6.7797
Rh Ca Fe
2 1 1
direct
0.0000 0.0448 0.9552
0.0000 0.4552 0.5448
0.5000 0.2500 0.2500
0.5000 0.7500 0.7500
```

Results
Its symmetry is No. 47. As for the size of the total moment: 4.470 μB/f.u. The energy above the most stable polymorph in this dataset is 0 meV per atom. The value obtained for the volume is 66.8 Å³ per cell.



(5)
Entry from Alexandria: a geometry-optimized CaFeRh structure (PBE-GGA).

```
CaFeRh
1.0
4.4716 0.0000 0.0000
2.2358 3.8725 0.0000
2.2358 1.2908 3.6510
Fe Rh Ca
1 1 1
direct
0.0000 0.0000 0.0000
0.5000 0.5000 0.5000
0.7500 0.7500 0.7500
```

Results
Its symmetry is No. 216. As for the size of the total moment: 3.253 μB/f.u. Its uncorrected energy is -4.926 eV/atom. The value obtained for the volume is 63.2 Å³ per cell.



(6)
Entry from Alexandria: a geometry-optimized CaFeRh2 structure (PBE-GGA).

```
CaFeRh2
1.0
8.5419 -0.1589 -0.0934
8.0550 2.8473 -0.0934
8.0550 1.3047 2.5324
Fe Rh Ca
1 2 1
direct
0.7500 0.7500 0.7500
0.0093 0.0093 0.0093
0.4907 0.4907 0.4907
0.2500 0.2500 0.2500
```

Results
Its symmetry is No. 166. As for the size of the total moment: 4.197 μB/f.u. The energy above the most stable polymorph in this dataset is 290 meV per atom. The value obtained for the volume is 67.2 Å³ per cell.



(7)
Entry from Alexandria: a geometry-optimized CaFeRh structure (PBE-GGA).

```
CaFeRh
1.0
-4.7585 -1.2329 -2.8635
-4.9897 -2.0431 1.8143
4.1057 3.8831 0.6539
Rh Fe Ca
1 1 1
direct
0.7128 0.7128 0.0000
0.2851 0.2851 0.0000
0.0021 0.0021 0.0000
```

Results
Its symmetry is No. 44. As for the size of the total moment: 3.188 μB/f.u. Its uncorrected energy is -5.895 eV/atom. The value obtained for the volume is 58.1 Å³ per cell.



(8)
Entry from Alexandria: a geometry-optimized Ca2FeRuRh structure (PBE-GGA).

```
Ca2FeRuRh
1.0
-0.0864 -0.5318 -5.1635
1.2893 -4.0135 0.3918
-4.9442 -1.5645 0.2439
Fe Ca Rh Ru
1 2 1 1
direct
0.0000 0.0000 0.0000
0.0000 0.0000 0.5000
0.5000 0.0000 0.0000
0.5000 0.5000 0.5000
0.0000 0.5000 0.0000
```

Results
Its symmetry is No. 123. As for the size of the total moment: 1.654 μB/f.u. Its uncorrected energy is -5.047 eV/atom. The value obtained for the volume is 114.1 Å³ per cell.



(9)
Entry from Alexandria: a geometry-optimized CaFeRhS2 structure (PBE-GGA).

```
CaFeRhS2
1.0
-0.4700 -3.5881 -2.7024
3.5727 -2.1000 2.1669
-2.8761 -1.8467 2.9523
S Ca Rh Fe
2 1 1 1
direct
0.0000 0.0000 0.5000
0.5000 0.0000 0.0000
0.5000 0.5000 0.5000
0.0000 0.5000 0.0000
0.0000 0.0000 0.0000
```

Results
Its symmetry is No. 123. As for the size of the total moment: 3.492 μB/f.u. For the uncorrected formation energy, the calculation gives -243 meV per atom. The value obtained for the volume is 95.4 Å³ per cell.



(10)
Entry from Alexandria: a geometry-optimized CaYFe2Rh structure (PBE-GGA).

```
CaYFe2Rh
1.0
-3.2490 2.2222 -2.8987
0.8135 -3.4432 -3.5514
-3.5653 -2.7721 1.8710
Rh Y Fe Ca
1 1 2 1
direct
0.0000 0.5000 0.0000
0.0000 0.0000 0.0000
0.0000 0.0000 0.5000
0.5000 0.0000 0.0000
0.5000 0.5000 0.5000
```

Results
Its symmetry is No. 123. As for the size of the total moment: 4.982 μB/f.u. Its uncorrected energy is -5.559 eV/atom. The value obtained for the volume is 119.8 Å³ per cell.



(11)
Entry from Alexandria: a geometry-optimized Ca2Zn2FeRh5 structure (PBE-GGA).

```
Ca2Zn2FeRh5
1.0
-1.0831 -2.0880 -2.2608
6.5576 -6.9524 3.2793
-6.9164 -3.4554 6.5049
Rh Ca Fe Zn
10 4 2 4
direct
0.5000 0.8089 0.9425
0.5000 0.3089 0.5575
0.5000 0.5000 0.0000
0.5000 0.1911 0.0575
0.5000 0.0575 0.8089
0.5000 0.5575 0.6911
0.5000 0.4425 0.3089
0.5000 0.0000 0.5000
0.5000 0.9425 0.1911
0.5000 0.6911 0.4425
0.0000 0.3282 0.8282
0.0000 0.1718 0.3282
0.0000 0.8282 0.6718
0.0000 0.6718 0.1718
0.0000 0.0000 0.0000
0.0000 0.5000 0.5000
0.0000 0.6315 0.8685
0.0000 0.1315 0.6315
0.0000 0.3685 0.1315
0.0000 0.8685 0.3685
```

Results
Its symmetry is No. 127. As for the size of the total moment: 4.423 μB/f.u. Its uncorrected energy is -5.422 eV/atom. The value obtained for the volume is 333.1 Å³ per cell.



(12)
Entry from Alexandria: a geometry-optimized CaZrFe2Rh structure (PBE-GGA).

```
CaZrFe2Rh
1.0
-2.5071 -4.0259 -0.9696
2.9607 -2.5347 2.8689
-2.8944 0.8931 3.7761
Ca Zr Fe Rh
1 1 2 1
direct
0.5000 0.5000 0.5000
0.0000 0.5000 0.0000
0.5000 0.0000 0.0000
0.0000 0.0000 0.5000
0.0000 0.0000 0.0000
```

Results
Its symmetry is No. 123. As for the size of the total moment: 5.495 μB/f.u. Its uncorrected energy is -6.420 eV/atom. The value obtained for the volume is 113.4 Å³ per cell.



(13)
Entry from Alexandria: a geometry-optimized CaFeRu structure (PBE-GGA).

```
CaFeRu
1.0
-3.9426 0.5937 1.4857
-2.9662 1.7685 -2.4855
-3.2121 -2.3605 -1.4880
Fe Ca Ru
1 1 1
direct
0.0000 0.0000 0.0000
0.7500 0.7500 0.7500
0.2500 0.2500 0.2500
```

Results
Its symmetry is No. 216. As for the size of the total moment: 0.000 μB/f.u. The energy above the most stable polymorph in this dataset is 682 meV per atom. The value obtained for the volume is 54.5 Å³ per cell.



(14)
Entry from Alexandria: a geometry-optimized CaFeRu structure (PBE-GGA).

```
CaFeRu
1.0
4.3193 0.0000 0.0000
0.0000 4.3193 0.0000
0.0000 0.0000 6.4612
Ca Ru Fe
2 2 2
direct
0.5000 0.0000 0.1601
0.0000 0.5000 0.8399
0.5000 0.0000 0.6494
0.0000 0.5000 0.3506
0.0000 0.0000 0.5000
0.5000 0.5000 0.5000
```

Results
Its symmetry is No. 129. As for the size of the total moment: 1.391 μB/f.u. The energy above the most stable polymorph in this dataset is 111 meV per atom. The value obtained for the volume is 120.5 Å³ per cell.



(15)
Entry from Alexandria: a geometry-optimized CaFe2Ru structure (PBE-GGA).

```
CaFe2Ru
1.0
5.1773 -0.0024 0.0214
-2.3383 4.6192 0.0214
0.3639 0.5918 2.5663
Fe Ru Ca
2 1 1
direct
0.0000 0.0000 0.0000
0.5000 0.5000 0.0000
0.5000 0.0000 0.5000
0.0000 0.5000 0.5000
```

Results
Its symmetry is No. 12. As for the size of the total moment: 5.264 μB/f.u. Its uncorrected energy is -6.498 eV/atom. The value obtained for the volume is 61.2 Å³ per cell.



(16)
Entry from Alexandria: a geometry-optimized CaFeRu structure (PBE-GGA).

```
CaFeRu
1.0
-4.3223 2.6967 2.0841
4.3798 -2.6230 2.0580
2.9354 4.2284 1.9563
Fe Ca Ru
2 2 2
direct
0.5419 0.8111 0.3986
0.5419 0.1157 0.0940
0.7990 0.4635 0.4890
0.9371 0.9633 0.8511
0.1970 0.2910 0.2635
0.1970 0.6359 0.9187
```

Results
Its symmetry is No. 44. As for the size of the total moment: 0.000 μB/f.u. The energy above the most stable polymorph in this dataset is 97 meV per atom. The value obtained for the volume is 107.6 Å³ per cell.



(17)
Entry from Alexandria: a geometry-optimized CaFeRu structure (PBE-GGA).

```
CaFeRu
1.0
-2.6390 -1.0653 -4.4656
-2.4664 -4.6379 -0.5607
-1.8623 3.5851 3.4236
Ru Fe Ca
2 2 2
direct
0.1191 0.4277 0.7993
0.6188 0.4278 0.2991
0.1190 0.9280 0.2994
0.1190 0.4278 0.2994
0.4957 0.8009 0.9224
0.7423 0.0544 0.6759
```

Results
Its symmetry is No. 74. As for the size of the total moment: 2.740 μB/f.u. The energy above the most stable polymorph in this dataset is 0 meV per atom. The value obtained for the volume is 104.5 Å³ per cell.



(18)
Entry from Alexandria: a geometry-optimized CaFe4Ru structure (PBE-GGA).

```
CaFe4Ru
1.0
-3.8115 -2.7532 -1.5128
-4.3686 2.1174 -0.9101
-1.6370 0.3874 -4.6440
Fe Ru Ca
4 1 1
direct
0.8743 0.3752 0.3752
0.3752 0.3752 0.3752
0.3752 0.8743 0.3752
0.3752 0.3752 0.8743
0.7500 0.7500 0.7500
0.0000 0.0000 0.0000
```

Results
Its symmetry is No. 216. As for the size of the total moment: 9.981 μB/f.u. Its uncorrected energy is -7.248 eV/atom. The value obtained for the volume is 85.2 Å³ per cell.



(19)
Entry from Alexandria: a geometry-optimized CaFeRu structure (PBE-GGA).

```
CaFeRu
1.0
-2.7328 1.5320 -4.5072
5.0279 -1.9722 0.9716
-2.9381 -4.4726 1.1900
Ca Ru Fe
2 2 2
direct
0.9434 0.7928 0.0076
0.7996 0.2946 0.3657
0.5326 0.6347 0.4388
0.2104 0.4527 0.9345
0.2086 0.1213 0.6015
0.5344 0.9661 0.7718
```

Results
Its symmetry is No. 12. As for the size of the total moment: 0.001 μB/f.u. The energy above the most stable polymorph in this dataset is 64 meV per atom. The value obtained for the volume is 108.5 Å³ per cell.



(20)
Entry from Alexandria: a geometry-optimized CaFeRu structure (PBE-GGA).

```
CaFeRu
1.0
4.1852 0.0001 0.0002
0.0001 5.1403 0.0517
-2.0924 -0.1149 5.2903
Ca Ru Fe
2 2 2
direct
0.7356 0.4630 0.6132
0.2920 0.9683 0.7260
0.0147 0.2256 0.1712
0.5582 0.9578 0.2582
0.4681 0.4772 0.0781
0.0130 0.7091 0.1683
```

Results
Its symmetry is No. 8. As for the size of the total moment: 2.229 μB/f.u. The energy above the most stable polymorph in this dataset is 23 meV per atom. The value obtained for the volume is 113.8 Å³ per cell.